Record 1
The following is a DFT calculation (GGA-PBE) of a relaxed structure of Sc3TiOs4.

Summary:
- DFT formation energy (eV/atom) = -0.427
- crystal system = tetragonal
- space group = P4/mmm, No. 123
- ρ (g/cm3) = 12.103
- magnetization (μB per atom) = 0.000

Cell lengths 3.1695, 3.1695, 12.8882 Å; angles 90.00, 90.00, 90.00 degrees
With the nearest neighbours (Å) after each atom.
Atoms (fractional coordinates):
1 Sc 0.5000 0.5000 0.2468  8 Os 2.76-2.82
2 Ti 0.5000 0.5000 0.0000  8 Os 2.68
3 Sc 0.5000 0.5000 0.5000  8 Os 2.78
4 Os 0.0000 0.0000 0.1146  4 Ti 2.68, 4 Sc 2.82, 1 Os 2.95
5 Os 0.0000 0.0000 0.6281  8 Sc 2.76-2.78
6 Os 0.0000 0.0000 0.3719  8 Sc 2.76-2.78
7 Sc 0.5000 0.5000 0.7532  8 Os 2.76-2.82
8 Os 0.0000 0.0000 0.8854  4 Ti 2.68, 4 Sc 2.82, 1 Os 2.95



Record 2
The following is a DFT calculation (GGA-PBE) of a relaxed structure of Sc2TiOs.

Summary:
- DFT formation energy (eV/atom) = -0.092
- crystal system = cubic
- distance to the lowest polymorph of the same formula (eV/atom) = 0.000
- space group = Fm-3m, No. 225
- ρ (g/cm3) = 7.528
- magnetization (μB per atom) = 0.555

Cell lengths 4.6773, 4.6773, 4.6773 Å; angles 60.00, 60.00, 60.00 degrees
With the nearest neighbours (Å) after each atom.
Atoms (fractional coordinates):
1 Ti 0.0000 0.0000 0.0000  8 Sc 2.86
2 Sc 0.2500 0.2500 0.2500  4 Os 2.86, 4 Ti 2.86
3 Sc 0.7500 0.7500 0.7500  4 Ti 2.86, 4 Os 2.86
4 Os 0.5000 0.5000 0.5000  8 Sc 2.86



Record 3
The following is a DFT calculation (GGA-PBE) of a relaxed structure of ScTi2Os2.

Summary:
- DFT formation energy (eV/atom) = -0.312
- crystal system = orthorhombic
- distance to the lowest polymorph of the same formula (eV/atom) = 0.003
- space group = Cmmm, No. 65
- ρ (g/cm3) = 9.906
- magnetization (μB per atom) = 0.000

Cell lengths 3.0825, 3.0964, 9.2827 Å; angles 80.40, 90.00, 90.00 degrees
With the nearest neighbours (Å) after each atom.
Atoms (fractional coordinates):
1 Os 0.5000 0.5992 0.8015  4 Ti 2.58, 4 Sc 2.84
2 Os 0.5000 0.4008 0.1985  4 Ti 2.58, 4 Sc 2.84
3 Ti 0.0000 0.8255 0.3491  4 Os 2.58
4 Ti 0.0000 0.1745 0.6509  4 Os 2.58
5 Sc 0.0000 0.0000 0.0000  8 Os 2.84, 4 Sc 3.08-3.10



Record 4
The following is a DFT calculation (GGA-PBE) of a relaxed structure of ScTi3Os.

Summary:
- DFT formation energy (eV/atom) = 1.431
- crystal system = cubic
- distance to the lowest polymorph of the same formula (eV/atom) = 1.127
- space group = Pm-3m, No. 221
- ρ (g/cm3) = 7.146
- magnetization (μB per atom) = 0.000

Cell lengths 4.4483, 4.4483, 4.4483 Å; angles 90.00, 90.00, 90.00 degrees
With the nearest neighbours (Å) after each atom.
Atoms (fractional coordinates):
1 Ti 0.0000 0.0000 0.5000  2 Sc 2.22
2 Ti 0.0000 0.5000 0.0000  2 Sc 2.22
3 Os 0.5000 0.5000 0.5000  12 Ti 3.15
4 Ti 0.5000 0.0000 0.0000  2 Sc 2.22
5 Sc 0.0000 0.0000 0.0000  6 Ti 2.22